VASP calculation (PBE) on a relaxed structure of Ba3ZnI.

**ρ**: 4.3 g/cm3
**ΔE to the lowest computed polymorph**: 0.000 kcal/mol of atoms
**Total magnetic moment**: 0.42 μB/f.u.
**E_tot**: -22.800 eV/cell
**DOS at the Fermi energy**: 12.1 states/eV/cell
**Volume**: 463.0 Å³/cell

Structure (CIF):
```
data_Ba3ZnI
_symmetry_space_group_name_H-M 'P 1'
_symmetry_Int_Tables_number 1
_cell_length_a 10.2794
_cell_length_b 4.5120
_cell_length_c 10.6125
_cell_angle_alpha 90.00
_cell_angle_beta 109.84
_cell_angle_gamma 90.00
loop_
_symmetry_equiv_pos_as_xyz
'x,y,z'
loop_
_atom_site_label
_atom_site_fract_x
_atom_site_fract_y
_atom_site_fract_z
_atom_site_occupancy
Ba1 0.0557 0.2500 0.2430 1
Ba2 0.3101 0.2500 0.9966 1
Ba3 0.3121 0.7500 0.6259 1
Ba4 0.6879 0.2500 0.3741 1
Ba5 0.6899 0.7500 0.0034 1
Ba6 0.9443 0.7500 0.7570 1
Zn1 0.0465 0.2500 0.5664 1
Zn2 0.9535 0.7500 0.4336 1
I1 0.3744 0.7500 0.3030 1
I2 0.6256 0.2500 0.6970 1
```